(1)
TaTcNi2: relaxed, PBE-GGA.

Summary:
The energy above the most stable polymorph in this dataset is 20 meV per atom. The calculation puts the volume at 13.48 A^3/atom. Its formation energy is -196 meV/atom.

```
TaTcNi2
1.0
-2.389 -3.976 -0.118
-0.846 -3.215 3.237
-3.433 0.236 1.526
Ta Ni Tc
1 2 1
direct
0.750 0.750 0.750
0.500 0.500 0.500
0.000 0.000 0.000
0.250 0.250 0.250
```



(2)
TmTh7Sc3: relaxed, PBE-GGA.

Summary:
The calculation puts the volume at 31.14 A^3/atom. Its formation energy is 178 meV/atom.

```
TmTh7Sc3
1.0
4.564 -0.106 -2.858
-1.035 10.081 -2.025
-1.124 -0.848 8.397
Sc Th Tm
3 7 1
direct
0.287 0.017 0.787
0.000 0.500 0.000
0.713 0.983 0.213
0.103 0.170 0.102
0.889 0.719 0.388
0.500 0.000 0.500
0.342 0.626 0.842
0.897 0.830 0.898
0.111 0.281 0.612
0.658 0.374 0.158
0.500 0.500 0.500
```



Which uncorrected energy belongs to each record? In order, -8.64; -6.68 eV per atom.